# 1
Crystalline NdPuInSn at its relaxed geometry, computed with PBE.

For the mass density, the calculation gives 9.16 Mg/m³. The value obtained for the density of states at the Fermi level is 2.795 states/eV per atom. As for the uncorrected energy: -6.8145 eV/atom.

abc: 5.423 5.423 5.423
angles: 60.00 60.00 60.00
Element x y z (fractional)
Nd  0.000  0.000  0.000
Pu  0.500  0.500  0.500
In  0.750  0.750  0.750
Sn  0.250  0.250  0.250


# 2
Crystalline Sr2Cd16Ag at its relaxed geometry, computed with PBE.

For the mass density, the calculation gives 7.56 Mg/m³. The value obtained for the density of states at the Fermi level is 0.333 states/eV per atom. As for the uncorrected energy: -1.2569 eV/atom.

abc: 7.765 7.765 7.765
angles: 82.51 82.51 82.51
Element x y z (fractional)
Sr  0.000  0.000  0.000
Sr  0.328  0.328  0.328
Cd  0.021  0.021  0.504
Cd  0.021  0.504  0.021
Cd  0.155  0.671  0.671
Cd  0.310  0.310  0.819
Cd  0.310  0.819  0.310
Cd  0.371  0.665  0.960
Cd  0.371  0.960  0.665
Cd  0.504  0.021  0.021
Cd  0.565  0.565  0.565
Cd  0.665  0.371  0.960
Cd  0.665  0.960  0.371
Cd  0.671  0.155  0.671
Cd  0.671  0.671  0.155
Cd  0.819  0.310  0.310
Cd  0.960  0.371  0.665
Cd  0.960  0.665  0.371
Ag  0.765  0.765  0.765


# 3
Crystalline AcTb2MnN4 at its relaxed geometry, computed with PBE.

For the mass density, the calculation gives 8.90 Mg/m³. The value obtained for the density of states at the Fermi level is 0.454 states/eV per atom. As for the uncorrected energy: -8.1406 eV/atom. Its uncorrected formation energy is -1.161 eV per atom.

abc: 6.190 6.190 11.780
angles: 90.00 90.00 147.17
Element x y z (fractional)
Ac  0.100  0.900  0.750
Ac  0.900  0.100  0.250
Tb  0.369  0.631  0.545
Tb  0.369  0.631  0.955
Tb  0.631  0.369  0.045
Tb  0.631  0.369  0.455
Mn  0.168  0.832  0.250
Mn  0.832  0.168  0.750
N  0.000  0.000  0.000
N  0.000  0.000  0.500
N  0.266  0.734  0.125
N  0.266  0.734  0.375
N  0.416  0.584  0.750
N  0.584  0.416  0.250
N  0.734  0.266  0.625
N  0.734  0.266  0.875